Material: Ag3H2I4
Method: DFT, PBE
State: optimized geometry

a = 5.7580 Å, b = 15.9787 Å, c = 6.5497 Å
α = 90.00°, β = 103.01°, γ = 90.00°
Last column: nearest neighbours and their distance in Å.
Space group C2/m (No. 12)
One atom of each set of equivalent atoms:
Ag 0.0000 0.0000 0.0000 (multiplicity 2)  2 H 1.66
Ag 0.2500 0.2500 0.0000 (multiplicity 4)  2 I 2.67, 2 Ag 2.88
H 0.2060 0.0000 0.8582 (multiplicity 4)  1 Ag 1.66
I 0.2481 0.3736 0.7247 (multiplicity 8)  2 Ag 2.67-2.87

Summary:
DFT total energy	-2.180	eV per atom